Here is a relaxed Cu2SnHgSe2S2 crystal from OQMD via LeMat-Bulk. Energies are from PBE.

a b c (Å): 6.9615 6.9615 5.7858
angles (deg): 114.10 114.10 48.98
Closest atoms and distances in Å follow each position.
Atoms (fractional coordinates):
Cu: 0.2501 0.2501 0.2250  2 S 2.30, 2 Se 2.46-2.47
Cu: 0.7499 0.7499 0.7750  2 S 2.30, 2 Se 2.46-2.47
Sn: 0.4858 0.5142 0.0000  2 S 2.49, 2 Se 2.61
Hg: 0.0100 0.9900 0.5000  2 S 2.62, 2 Se 2.70
Se: 0.5957 0.1167 0.6146  2 Cu 2.46-2.47, 1 Sn 2.61, 1 Hg 2.70
Se: 0.8833 0.4043 0.3854  2 Cu 2.46-2.47, 1 Sn 2.61, 1 Hg 2.70
S: 0.1150 0.6029 0.1003  2 Cu 2.30, 1 Sn 2.49
S: 0.3971 0.8850 0.8997  2 Cu 2.30, 1 Sn 2.49

Results
The distance to the lowest polymorph of the same formula comes out at 0 meV per atom. The volume comes out at 189 Å³/cell. The electronic total energy comes out at -29.26 eV/cell.